{"formula": "NaSiRu2", "functional": "PBE", "state": "optimized geometry", "crystal_system": "tetragonal", "magnetic_moment_mub_per_atom": 0.00, "e_form_raw_kj_per_mol_fu": 268, "spacegroup": "I-42d (122)", "lattice": [[4.606, 0.000, 0.000], [0.000, 4.606, 0.000], [2.303, 2.303, 8.381]], "species": ["Na", "Na", "Si", "Si", "Ru", "Ru", "Ru", "Ru"], "fractional_positions": [[0.250, 0.750, 0.500], [0.500, 0.500, 0.000], [0.000, 0.000, 0.000], [0.750, 0.250, 0.500], [0.926, 0.625, 0.250], [0.375, 0.176, 0.750], [0.875, 0.074, 0.750], [0.824, 0.125, 0.250]]}



{"formula": "NaSi3Ru", "functional": "PBE", "state": "optimized geometry", "crystal_system": "cubic", "magnetic_moment_mub_per_atom": 0.35, "de_polymorph_mev_per_atom": 0, "e_form_raw_kj_per_mol_fu": 172, "spacegroup": "Pm-3m (221)", "lattice": [[-3.876, -2.123, 1.599], [2.591, -2.388, 3.110], [-0.593, 3.446, 3.140]], "species": ["Si", "Si", "Si", "Na", "Ru"], "fractional_positions": [[0.000, 0.000, 0.500], [0.000, 0.500, 0.000], [0.500, 0.000, 0.000], [0.500, 0.500, 0.500], [0.000, 0.000, 0.000]]}



{"formula": "Na2SrSiRu", "functional": "PBE", "state": "optimized geometry", "crystal_system": "tetragonal", "magnetic_moment_mub_per_atom": 0.00, "e_form_raw_kj_per_mol_fu": 118, "spacegroup": "P4/mmm (123)", "lattice": [[-2.941, 0.521, -4.478], [-3.606, -1.868, 2.150], [-1.576, 4.890, 1.604]], "species": ["Na", "Na", "Si", "Sr", "Ru"], "fractional_positions": [[0.000, 0.000, 0.500], [0.500, 0.000, 0.000], [0.000, 0.500, 0.000], [0.500, 0.500, 0.500], [0.000, 0.000, 0.000]]}



{"formula": "NaSm2Ru", "functional": "PBE", "state": "optimized geometry", "crystal_system": "trigonal", "magnetic_moment_mub_per_atom": 0.00, "e_form_mev_per_atom": -55, "de_polymorph_mev_per_atom": 81, "spacegroup": "R-3m (166)", "lattice": [[-1.168, -0.208, 3.853], [-1.993, -3.242, 1.330], [7.065, -5.221, 3.969]], "species": ["Ru", "Na", "Sm", "Sm"], "fractional_positions": [[0.000, 0.000, 0.000], [0.500, 0.500, 0.500], [0.720, 0.720, 0.839], [0.280, 0.280, 0.161]]}



{"formula": "NaSm2Ru", "functional": "PBE", "state": "optimized geometry", "crystal_system": "tetragonal", "magnetic_moment_mub_per_atom": 0.00, "e_form_mev_per_atom": -137, "de_polymorph_mev_per_atom": 0, "spacegroup": "P4/mmm (123)", "lattice": [[3.465, 0.000, 0.000], [0.000, 3.465, 0.000], [0.000, 0.000, 9.589]], "species": ["Sm", "Sm", "Ru", "Na"], "fractional_positions": [[0.000, 0.000, 0.824], [0.000, 0.000, 0.176], [0.500, 0.500, 0.000], [0.500, 0.500, 0.500]]}



{"formula": "Na3SnRu", "functional": "PBE", "state": "optimized geometry", "crystal_system": "cubic", "magnetic_moment_mub_per_atom": 0.00, "e_form_mev_per_atom": 1048, "spacegroup": "Pm-3m (221)", "lattice": [[5.302, 0.000, 0.000], [0.000, 5.302, 0.000], [0.000, 0.000, 5.302]], "species": ["Ru", "Na", "Na", "Na", "Sn"], "fractional_positions": [[0.000, 0.000, 0.000], [0.000, 0.500, 0.000], [0.500, 0.000, 0.000], [0.000, 0.000, 0.500], [0.500, 0.500, 0.500]]}



{"formula": "NaSn2Ru", "functional": "PBE", "state": "optimized geometry", "crystal_system": "tetragonal", "magnetic_moment_mub_per_atom": 0.00, "e_form_mev_per_atom": -143, "spacegroup": "P4/mmm (123)", "lattice": [[-2.484, -2.044, 0.101], [1.087, -1.183, 2.788], [-4.562, 5.754, 4.220]], "species": ["Ru", "Na", "Sn", "Sn"], "fractional_positions": [[0.500, 0.500, 0.000], [0.500, 0.500, 0.500], [0.000, 0.000, 0.197], [0.000, 0.000, 0.803]]}



{"formula": "NaSnRu3", "functional": "PBE", "state": "optimized geometry", "crystal_system": "cubic", "magnetic_moment_mub_per_atom": 0.64, "e_form_mev_per_atom": 1967, "de_polymorph_mev_per_atom": 380, "spacegroup": "Pm-3m (221)", "lattice": [[-0.501, -4.272, -1.446], [4.318, -0.874, 1.086], [-1.301, -1.256, 4.162]], "species": ["Na", "Ru", "Ru", "Ru", "Sn"], "fractional_positions": [[0.000, 0.000, 0.000], [0.500, 0.000, 0.000], [0.000, 0.000, 0.500], [0.000, 0.500, 0.000], [0.500, 0.500, 0.500]]}



{"formula": "NaSn2Ru", "functional": "PBE", "state": "optimized geometry", "crystal_system": "trigonal", "magnetic_moment_mub_per_atom": 0.00, "e_form_mev_per_atom": -35, "spacegroup": "R-3m (166)", "lattice": [[-3.326, 0.345, 0.009], [-1.841, -1.598, 2.289], [-0.948, 6.898, 6.497]], "species": ["Na", "Ru", "Sn", "Sn"], "fractional_positions": [[0.500, 0.500, 0.500], [0.000, 0.000, 0.000], [0.264, 0.264, 0.208], [0.736, 0.736, 0.792]]}



{"formula": "NaSn3Ru", "functional": "PBE", "state": "optimized geometry", "crystal_system": "cubic", "magnetic_moment_mub_per_atom": 0.26, "e_form_mev_per_atom": 102, "de_polymorph_mev_per_atom": 0, "spacegroup": "Pm-3m (221)", "lattice": [[-0.843, -5.127, -0.578], [5.158, -0.847, -0.006], [-0.087, -0.571, 5.196]], "species": ["Sn", "Sn", "Sn", "Ru", "Na"], "fractional_positions": [[0.000, 0.500, 0.000], [0.500, 0.000, 0.000], [0.000, 0.000, 0.500], [0.000, 0.000, 0.000], [0.500, 0.500, 0.500]]}



{"formula": "NaSnRu2", "functional": "PBE", "state": "optimized geometry", "crystal_system": "tetragonal", "magnetic_moment_mub_per_atom": 0.32, "e_form_mev_per_atom": 826, "spacegroup": "I-42d (122)", "lattice": [[7.549, 0.000, 0.000], [0.000, 7.549, 0.000], [3.775, 3.775, 2.704]], "species": ["Sn", "Sn", "Na", "Na", "Ru", "Ru", "Ru", "Ru"], "fractional_positions": [[0.750, 0.250, 0.500], [0.000, 0.000, 0.000], [0.500, 0.500, 0.000], [0.250, 0.750, 0.500], [0.375, 0.344, 0.750], [0.875, 0.906, 0.750], [0.094, 0.625, 0.250], [0.656, 0.125, 0.250]]}



{"formula": "NaSn2Ru2", "functional": "PBE", "state": "optimized geometry", "crystal_system": "tetragonal", "magnetic_moment_mub_per_atom": 0.00, "e_form_mev_per_atom": 142, "de_polymorph_mev_per_atom": 199, "spacegroup": "I4/mmm (139)", "lattice": [[4.749, 0.000, 0.000], [0.000, 4.749, 0.000], [2.375, 2.375, 4.854]], "species": ["Sn", "Sn", "Na", "Ru", "Ru"], "fractional_positions": [[0.250, 0.750, 0.500], [0.750, 0.250, 0.500], [0.000, 0.000, 0.000], [0.381, 0.381, 0.239], [0.619, 0.619, 0.761]]}



{"formula": "NaSnRu3", "functional": "PBE", "state": "optimized geometry", "crystal_system": "cubic", "magnetic_moment_mub_per_atom": 0.96, "e_form_mev_per_atom": 1587, "de_polymorph_mev_per_atom": 0, "spacegroup": "Pm-3m (221)", "lattice": [[-4.688, -1.591, 0.529], [1.675, -4.512, 1.276], [0.072, 1.380, 4.783]], "species": ["Ru", "Ru", "Ru", "Sn", "Na"], "fractional_positions": [[0.000, 0.000, 0.500], [0.000, 0.500, 0.000], [0.500, 0.000, 0.000], [0.000, 0.000, 0.000], [0.500, 0.500, 0.500]]}



{"formula": "NaSn2Ru", "functional": "PBE", "state": "optimized geometry", "crystal_system": "cubic", "magnetic_moment_mub_per_atom": 0.00, "e_form_mev_per_atom": 52, "spacegroup": "Fm-3m (225)", "lattice": [[0.000, 3.437, 3.437], [3.437, 0.000, 3.437], [3.437, 3.437, 0.000]], "species": ["Na", "Sn", "Sn", "Ru"], "fractional_positions": [[0.000, 0.000, 0.000], [0.250, 0.250, 0.250], [0.750, 0.750, 0.750], [0.500, 0.500, 0.500]]}



{"formula": "NaSn2Ru2", "functional": "PBE", "state": "optimized geometry", "crystal_system": "tetragonal", "magnetic_moment_mub_per_atom": 0.00, "e_form_mev_per_atom": -57, "de_polymorph_mev_per_atom": 0, "spacegroup": "P4/mbm (127)", "lattice": [[-5.919, -4.899, 0.921], [4.946, -5.950, 0.140], [0.249, 0.280, 3.092]], "species": ["Sn", "Sn", "Sn", "Sn", "Na", "Na", "Ru", "Ru", "Ru", "Ru"], "fractional_positions": [[0.845, 0.345, 0.500], [0.345, 0.155, 0.500], [0.155, 0.655, 0.500], [0.655, 0.845, 0.500], [0.000, 0.000, 0.000], [0.500, 0.500, 0.000], [0.639, 0.139, 0.000], [0.139, 0.361, 0.000], [0.861, 0.639, 0.000], [0.361, 0.861, 0.000]]}



{"formula": "NaSn2Ru", "functional": "PBE", "state": "optimized geometry", "crystal_system": "tetragonal", "magnetic_moment_mub_per_atom": 0.00, "e_form_mev_per_atom": 319, "spacegroup": "I-42d (122)", "lattice": [[5.911, 0.000, 0.000], [0.000, 5.911, 0.000], [2.955, 2.955, 7.913]], "species": ["Na", "Na", "Sn", "Sn", "Sn", "Sn", "Ru", "Ru"], "fractional_positions": [[0.500, 0.500, 0.000], [0.250, 0.750, 0.500], [0.786, 0.125, 0.250], [0.375, 0.214, 0.750], [0.875, 0.036, 0.750], [0.964, 0.625, 0.250], [0.000, 0.000, 0.000], [0.750, 0.250, 0.500]]}



{"formula": "NaSnRu", "functional": "PBE", "state": "optimized geometry", "crystal_system": "tetragonal", "magnetic_moment_mub_per_atom": 0.15, "e_form_mev_per_atom": 35, "spacegroup": "P4/nmm (129)", "lattice": [[-1.068, -2.104, 3.483], [3.834, 0.685, 1.590], [-2.466, 6.473, 3.155]], "species": ["Na", "Na", "Ru", "Ru", "Sn", "Sn"], "fractional_positions": [[0.500, 0.000, 0.156], [0.000, 0.500, 0.844], [0.000, 0.000, 0.500], [0.500, 0.500, 0.500], [0.000, 0.500, 0.283], [0.500, 0.000, 0.717]]}



{"formula": "NaSn2Ru2", "functional": "PBE", "state": "optimized geometry", "crystal_system": "tetragonal", "magnetic_moment_mub_per_atom": 0.03, "e_form_mev_per_atom": 117, "de_polymorph_mev_per_atom": 174, "spacegroup": "I4/mmm (139)", "lattice": [[-2.946, -1.185, 3.042], [0.382, -4.194, -1.263], [2.958, -3.451, 4.698]], "species": ["Ru", "Ru", "Na", "Sn", "Sn"], "fractional_positions": [[0.750, 0.250, 0.500], [0.250, 0.750, 0.500], [0.000, 0.000, 0.000], [0.627, 0.627, 0.746], [0.373, 0.373, 0.254]]}



{"formula": "NaSn2Ru", "functional": "PBE", "state": "optimized geometry", "crystal_system": "trigonal", "magnetic_moment_mub_per_atom": 0.00, "e_form_mev_per_atom": -21, "spacegroup": "R3m (160)", "lattice": [[4.440, 0.000, 0.000], [2.220, 3.845, 0.000], [2.220, 1.282, 5.702]], "species": ["Ru", "Na", "Sn", "Sn"], "fractional_positions": [[0.672, 0.672, 0.983], [0.493, 0.493, 0.521], [0.282, 0.282, 0.155], [0.053, 0.053, 0.840]]}



{"formula": "Na2VSnRu", "functional": "PBE", "state": "optimized geometry", "crystal_system": "tetragonal", "magnetic_moment_mub_per_atom": 1.23, "e_form_mev_per_atom": 1518, "spacegroup": "P4/mmm (123)", "lattice": [[-2.286, 3.495, -2.975], [-4.224, -0.163, 3.054], [1.953, 3.749, 2.902]], "species": ["V", "Sn", "Ru", "Na", "Na"], "fractional_positions": [[0.000, 0.000, 0.000], [0.000, 0.500, 0.000], [0.500, 0.500, 0.500], [0.000, 0.000, 0.500], [0.500, 0.000, 0.000]]}



{"formula": "NaYSn2Ru", "functional": "PBE", "state": "optimized geometry", "crystal_system": "tetragonal", "magnetic_moment_mub_per_atom": 0.00, "e_form_mev_per_atom": 147, "spacegroup": "P4/mmm (123)", "lattice": [[-3.083, -3.749, -1.867], [-0.565, -1.839, 4.628], [-4.147, 3.058, 0.708]], "species": ["Na", "Sn", "Sn", "Ru", "Y"], "fractional_positions": [[0.000, 0.500, 0.000], [0.000, 0.000, 0.500], [0.500, 0.000, 0.000], [0.000, 0.000, 0.000], [0.500, 0.500, 0.500]]}



{"formula": "NaSr2Ru", "functional": "PBE", "state": "optimized geometry", "crystal_system": "cubic", "magnetic_moment_mub_per_atom": 0.00, "e_form_mev_per_atom": 417, "de_polymorph_mev_per_atom": 0, "spacegroup": "Fm-3m (225)", "lattice": [[3.834, -2.345, 3.090], [-0.680, -0.337, 5.401], [-0.957, -4.837, 2.331]], "species": ["Ru", "Na", "Sr", "Sr"], "fractional_positions": [[0.500, 0.500, 0.500], [0.000, 0.000, 0.000], [0.250, 0.250, 0.250], [0.750, 0.750, 0.750]]}



{"formula": "NaSr3Ru", "functional": "PBE", "state": "optimized geometry", "crystal_system": "cubic", "magnetic_moment_mub_per_atom": 0.00, "e_form_mev_per_atom": 219, "de_polymorph_mev_per_atom": 0, "spacegroup": "Pm-3m (221)", "lattice": [[-3.261, -2.248, -4.354], [3.281, -4.887, 0.066], [-3.640, -2.391, 3.960]], "species": ["Ru", "Sr", "Sr", "Sr", "Na"], "fractional_positions": [[0.000, 0.000, 0.000], [0.500, 0.000, 0.000], [0.000, 0.000, 0.500], [0.000, 0.500, 0.000], [0.500, 0.500, 0.500]]}



{"formula": "NaSr2Ru", "functional": "PBE", "state": "optimized geometry", "crystal_system": "tetragonal", "magnetic_moment_mub_per_atom": 0.00, "e_form_mev_per_atom": 592, "de_polymorph_mev_per_atom": 175, "spacegroup": "I-42d (122)", "lattice": [[8.859, 0.000, 0.000], [0.000, 8.859, 0.000], [4.429, 4.429, 3.520]], "species": ["Sr", "Sr", "Sr", "Sr", "Ru", "Ru", "Na", "Na"], "fractional_positions": [[0.375, 0.293, 0.750], [0.875, 0.957, 0.750], [0.043, 0.625, 0.250], [0.707, 0.125, 0.250], [0.750, 0.250, 0.500], [0.000, 0.000, 0.000], [0.250, 0.750, 0.500], [0.500, 0.500, 0.000]]}



{"formula": "NaSr3Ru", "functional": "PBE", "state": "optimized geometry", "crystal_system": "cubic", "magnetic_moment_mub_per_atom": 0.32, "e_form_mev_per_atom": 1196, "de_polymorph_mev_per_atom": 977, "spacegroup": "Pm-3m (221)", "lattice": [[-2.713, -3.134, 4.448], [2.390, -5.152, -2.172], [4.889, 0.780, 3.531]], "species": ["Sr", "Sr", "Sr", "Ru", "Na"], "fractional_positions": [[0.500, 0.000, 0.000], [0.000, 0.000, 0.500], [0.000, 0.500, 0.000], [0.500, 0.500, 0.500], [0.000, 0.000, 0.000]]}



{"formula": "Na2SrTaRu", "functional": "PBE", "state": "optimized geometry", "crystal_system": "tetragonal", "magnetic_moment_mub_per_atom": 0.00, "e_form_mev_per_atom": 2027, "spacegroup": "P4/mmm (123)", "lattice": [[4.939, 0.000, 0.000], [0.000, 4.971, 0.000], [0.000, 0.000, 4.939]], "species": ["Ta", "Sr", "Ru", "Na", "Na"], "fractional_positions": [[0.500, 0.500, 0.500], [0.000, 0.000, 0.000], [0.000, 0.500, 0.000], [0.500, 0.000, 0.000], [0.000, 0.000, 0.500]]}



{"formula": "NaSrTi2Ru", "functional": "PBE", "state": "optimized geometry", "crystal_system": "tetragonal", "magnetic_moment_mub_per_atom": 0.00, "e_form_mev_per_atom": 344, "spacegroup": "P4/mmm (123)", "lattice": [[-3.894, -2.669, -0.238], [2.671, -3.900, 0.045], [-0.266, -0.117, 5.672]], "species": ["Na", "Ru", "Sr", "Ti", "Ti"], "fractional_positions": [[0.000, 0.000, 0.500], [0.000, 0.000, 0.000], [0.500, 0.500, 0.500], [0.000, 0.500, 0.000], [0.500, 0.000, 0.000]]}



{"formula": "NaTa3Ru", "functional": "PBE", "state": "optimized geometry", "crystal_system": "cubic", "magnetic_moment_mub_per_atom": 0.00, "e_form_mev_per_atom": 2488, "de_polymorph_mev_per_atom": 1331, "spacegroup": "Pm-3m (221)", "lattice": [[4.575, 0.000, 0.000], [0.000, 4.575, 0.000], [0.000, 0.000, 4.575]], "species": ["Ta", "Ta", "Ta", "Ru", "Na"], "fractional_positions": [[0.500, 0.000, 0.000], [0.000, 0.500, 0.000], [0.000, 0.000, 0.500], [0.500, 0.500, 0.500], [0.000, 0.000, 0.000]]}